No. 1
PBE-GGA BaVRe3, optimized geometry; polymorph energy (0 for the lowest one) = 0.000 eV per atom; energy of formation from the pure elements = 7.6 eV per formula unit
1.0
-3.253 -3.421 0.441
1.230 -1.717 -4.245
3.223 -2.798 2.066
V Re Ba
1 3 1
Cartesian
0.000 0.000 0.000
0.615 -0.859 -2.122
1.611 -1.399 1.033
-1.626 -1.711 0.221
0.600 -3.968 -0.869



No. 2
PBE-GGA PrCdSnPb, optimized geometry; polymorph energy (0 for the lowest one) = 0.000 eV per atom; energy of formation from the pure elements = -1.8 eV per formula unit
1.0
-4.243 1.783 0.166
0.095 -0.227 4.885
1.888 4.478 0.171
Pb Pr Cd Sn
1 1 1 1
Cartesian
0.992 2.126 2.528
-1.177 3.130 0.168
-2.074 0.778 2.526
0.000 0.000 0.000



No. 3
PBE-GGA CeFeH6Pd, optimized geometry; E = -4.692 eV per atom
1.0
-4.378 0.890 1.026
-3.339 -2.618 -1.736
0.268 -2.584 3.383
H Fe Ce Pd
6 1 1 1
Cartesian
-3.665 -1.442 0.452
-2.024 -1.636 3.025
-3.523 -2.812 2.245
-1.556 -3.212 1.784
-2.165 -0.266 1.232
-1.698 -1.842 -0.009
-2.438 -1.868 1.455
-4.111 -1.695 4.409
-5.011 -2.444 1.218



No. 4
PBE-GGA CsHg3Pd2, optimized geometry; energy of formation from the pure elements = -1.4 eV per formula unit
1.0
-1.236 1.019 -5.711
-4.128 -6.357 -0.241
-4.601 5.683 2.010
Hg Pd Cs
6 4 2
Cartesian
-6.747 2.264 0.324
-1.464 0.723 -4.174
-8.501 -0.377 0.232
-3.414 3.079 -3.332
-6.551 -2.734 -0.610
-3.217 -1.919 -4.266
-4.836 -3.543 -2.666
-4.510 3.379 1.579
-5.128 3.889 -1.276
-4.218 -4.053 0.190
-6.625 0.325 -3.128
-3.339 0.021 -0.814



Values of total magnetic moment, in order: 2.59 0.00 0.69 0.00, all in μB/f.u..